Record 1
Here is Sc2CuPt after structural relaxation from Alexandria via LeMat-Bulk. Energies are from PBE.

Lattice parameters (Å, degrees): 5.8986 5.8986 5.8986 103.25 103.25 122.79
Closest atoms and distances in Å follow each position.
Atoms (fractional coordinates):
Sc  0.1167  0.1250  0.4917  2 Pt 2.64, 2 Cu 2.73, 2 Sc 2.83
Sc  0.3750  0.8833  0.0083  2 Pt 2.64, 2 Cu 2.73, 2 Sc 2.83
Sc  0.6333  0.6250  0.5083  2 Pt 2.64, 2 Cu 2.73, 2 Sc 2.83
Sc  0.8750  0.3667  0.9917  2 Pt 2.64, 2 Cu 2.73, 2 Sc 2.83
Cu  0.2500  0.7500  0.5000  4 Sc 2.73, 2 Pt 2.82
Cu  0.5000  0.5000  0.0000  4 Sc 2.73, 2 Pt 2.82
Pt  0.0000  0.0000  0.0000  4 Sc 2.64, 2 Cu 2.82
Pt  0.7500  0.2500  0.5000  4 Sc 2.64, 2 Cu 2.82

Its crystal system is tetragonal. The volume comes out at 18.9 Å³ per atom. The calculation puts the energy of formation at -0.301 eV/atom. The symmetry is I-42d, No. 122. For the density of states at the Fermi level, the calculation gives 6.11 states/eV/f.u.

Record 2
Here is ScCu2Pt after structural relaxation from Alexandria via LeMat-Bulk. Energies are from PBE.

Lattice parameters (Å, degrees): 3.3514 3.3514 5.4659 90.00 90.00 90.00
Closest atoms and distances in Å follow each position.
Atoms (fractional coordinates):
Sc  0.0000  0.0000  0.0000  6 Cu 2.68-2.83, 4 Pt 2.72
Cu  0.0000  0.0000  0.4909  4 Cu 2.63, 2 Sc 2.68-2.78, 4 Pt 2.77
Cu  0.5000  0.5000  0.2832  1 Pt 2.58, 4 Cu 2.63, 4 Sc 2.83
Pt  0.5000  0.5000  0.7544  5 Cu 2.58-2.77, 4 Sc 2.72

Its crystal system is tetragonal. The volume comes out at 15.3 Å³ per atom. The calculation puts the energy of formation at -0.508 eV/atom. The symmetry is P4mm, No. 99. For the density of states at the Fermi level, the calculation gives 1.25 states/eV/f.u.

Record 3
Here is Sc2CuPt9 after structural relaxation from Alexandria via LeMat-Bulk. Energies are from PBE.

Lattice parameters (Å, degrees): 3.9858 3.9858 11.8859 90.00 90.00 90.00
Closest atoms and distances in Å follow each position.
Atoms (fractional coordinates):
Sc  0.0000  0.0000  0.1716  12 Pt 2.82-2.85
Sc  0.0000  0.0000  0.8284  12 Pt 2.82-2.85
Cu  0.0000  0.0000  0.5000  12 Pt 2.76-2.82
Pt  0.0000  0.5000  0.0000  8 Pt 2.82-2.83, 4 Sc 2.85
Pt  0.0000  0.5000  0.3390  2 Cu 2.76, 8 Pt 2.76-2.84, 2 Sc 2.82
Pt  0.0000  0.5000  0.6610  2 Cu 2.76, 8 Pt 2.76-2.84, 2 Sc 2.82
Pt  0.5000  0.0000  0.0000  8 Pt 2.82-2.83, 4 Sc 2.85
Pt  0.5000  0.0000  0.3390  2 Cu 2.76, 8 Pt 2.76-2.84, 2 Sc 2.82
Pt  0.5000  0.0000  0.6610  2 Cu 2.76, 8 Pt 2.76-2.84, 2 Sc 2.82
Pt  0.5000  0.5000  0.1691  4 Sc 2.82, 8 Pt 2.83-2.84
Pt  0.5000  0.5000  0.5000  8 Pt 2.76, 4 Cu 2.82
Pt  0.5000  0.5000  0.8309  4 Sc 2.82, 8 Pt 2.83-2.84

Its crystal system is tetragonal. The volume comes out at 15.7 Å³ per atom. The calculation puts the energy of formation at -0.735 eV/atom. The symmetry is P4/mmm, No. 123. For the density of states at the Fermi level, the calculation gives 14.25 states/eV/f.u.

Record 4
Here is Sc6Cu2Pt after structural relaxation from Alexandria via LeMat-Bulk. Energies are from PBE.

Lattice parameters (Å, degrees): 7.7502 7.7502 7.7502 110.94 109.27 108.21
Closest atoms and distances in Å follow each position.
Atoms (fractional coordinates):
Sc  0.0460  0.2194  0.8266  3 Cu 2.66-2.82
Sc  0.2508  0.3059  0.5567  2 Cu 2.68-2.89, 2 Pt 2.81-2.82
Sc  0.2508  0.6941  0.9449  2 Cu 2.68-2.89, 2 Pt 2.81-2.82
Sc  0.2664  0.5865  0.3201  3 Cu 2.89, 1 Pt 2.89, 1 Sc 3.16
Sc  0.2664  0.9462  0.6799  3 Cu 2.89, 1 Pt 2.89, 1 Sc 3.16
Sc  0.3927  0.2194  0.1734  3 Cu 2.66-2.82
Sc  0.6073  0.7806  0.8266  3 Cu 2.66-2.82
Sc  0.7336  0.0538  0.3201  3 Cu 2.89, 1 Pt 2.89, 1 Sc 3.16
Sc  0.7336  0.4135  0.6799  3 Cu 2.89, 1 Pt 2.89, 1 Sc 3.16
Sc  0.7492  0.3059  0.0551  2 Cu 2.68-2.89, 2 Pt 2.81-2.82
Sc  0.7492  0.6941  0.4433  2 Cu 2.68-2.89, 2 Pt 2.81-2.82
Sc  0.9540  0.7806  0.1734  3 Cu 2.66-2.82
Cu  0.0000  0.1410  0.1410  1 Cu 2.48, 2 Sc 2.68
Cu  0.0000  0.8590  0.8590  1 Cu 2.48, 2 Sc 2.68
Cu  0.3695  0.0000  0.3695  1 Cu 2.34
Cu  0.6305  0.0000  0.6305  1 Cu 2.34
Pt  0.0000  0.5000  0.5000  8 Sc 2.82-2.89, 2 Cu 3.15
Pt  0.5000  0.5000  0.0000  8 Sc 2.81-2.99

Its crystal system is orthorhombic. The volume comes out at 19.9 Å³ per atom. The calculation puts the energy of formation at -0.427 eV/atom. The symmetry is Immm, No. 71. For the density of states at the Fermi level, the calculation gives 9.54 states/eV/f.u.

Record 5
Here is ScCu2Pt2 after structural relaxation from Alexandria via LeMat-Bulk. Energies are from PBE.

Lattice parameters (Å, degrees): 7.1613 7.1613 2.9790 90.00 90.00 90.00
Closest atoms and distances in Å follow each position.
Atoms (fractional coordinates):
Sc  0.0000  0.0000  0.0000  4 Cu 2.85, 2 Sc 2.98, 8 Pt 3.03
Sc  0.5000  0.5000  0.0000  4 Cu 2.85, 2 Sc 2.98, 8 Pt 3.03
Cu  0.1208  0.3792  0.0000  1 Cu 2.45, 6 Pt 2.54-2.62
Cu  0.3792  0.8792  0.0000  1 Cu 2.45, 6 Pt 2.54-2.62
Cu  0.6208  0.1208  0.0000  1 Cu 2.45, 6 Pt 2.54-2.62
Cu  0.8792  0.6208  0.0000  1 Cu 2.45, 6 Pt 2.54-2.62
Pt  0.1759  0.6759  0.5000  6 Cu 2.54-2.62
Pt  0.3241  0.1759  0.5000  6 Cu 2.54-2.62
Pt  0.6759  0.8241  0.5000  6 Cu 2.54-2.62
Pt  0.8241  0.3241  0.5000  6 Cu 2.54-2.62

Its crystal system is tetragonal. The volume comes out at 15.3 Å³ per atom. The calculation puts the energy of formation at -0.504 eV/atom. The symmetry is P4/mbm, No. 127. For the density of states at the Fermi level, the calculation gives 2.00 states/eV/f.u.

Record 6
Here is Sc2CuPt after structural relaxation from Alexandria via LeMat-Bulk. Energies are from PBE.

Lattice parameters (Å, degrees): 6.5826 6.5826 6.5826 34.16 34.16 34.16
Closest atoms and distances in Å follow each position.
Atoms (fractional coordinates):
Sc  0.2472  0.2472  0.2472  3 Pt 2.69, 3 Cu 2.75
Sc  0.7528  0.7528  0.7528  3 Pt 2.69, 3 Cu 2.75
Cu  0.0000  0.0000  0.0000  6 Sc 2.75
Pt  0.5000  0.5000  0.5000  6 Sc 2.69

Its crystal system is trigonal. The volume comes out at 20.1 Å³ per atom. The calculation puts the energy of formation at -0.516 eV/atom. The symmetry is R-3m, No. 166. For the density of states at the Fermi level, the calculation gives 1.44 states/eV/f.u.

Record 7
Here is Sc2CuPt after structural relaxation from Alexandria via LeMat-Bulk. Energies are from PBE.

Lattice parameters (Å, degrees): 4.6433 4.6433 3.2772 90.00 90.00 90.00
Closest atoms and distances in Å follow each position.
Atoms (fractional coordinates):
Sc  0.0000  0.5000  0.0000  4 Cu 2.84, 4 Pt 2.84
Sc  0.5000  0.0000  0.0000  4 Cu 2.84, 4 Pt 2.84
Cu  0.0000  0.0000  0.5000  8 Sc 2.84
Pt  0.5000  0.5000  0.5000  8 Sc 2.84

Its crystal system is tetragonal. The volume comes out at 17.7 Å³ per atom. The calculation puts the energy of formation at -0.789 eV/atom. The symmetry is P4/mmm, No. 123. For the density of states at the Fermi level, the calculation gives 3.13 states/eV/f.u.

Record 8
Here is ScCu3Pt4 after structural relaxation from Alexandria via LeMat-Bulk. Energies are from PBE.

Lattice parameters (Å, degrees): 8.9305 5.7233 4.6342 90.00 90.00 90.00
Closest atoms and distances in Å follow each position.
Atoms (fractional coordinates):
Sc  0.0000  0.0000  0.0000  8 Pt 2.74, 4 Cu 2.86-2.88
Sc  0.5000  0.0000  0.0000  8 Pt 2.74, 4 Cu 2.86-2.88
Cu  0.0000  0.5000  0.0000  8 Pt 2.68-2.71, 2 Cu 2.80, 2 Sc 2.86
Cu  0.2500  0.0000  0.3927  8 Pt 2.69-2.82, 2 Cu 2.86, 2 Sc 2.88
Cu  0.2500  0.5000  0.3660  8 Pt 2.66-2.73, 4 Cu 2.80-2.86
Cu  0.5000  0.5000  0.0000  8 Pt 2.68-2.71, 2 Cu 2.80, 2 Sc 2.86
Cu  0.7500  0.0000  0.6073  8 Pt 2.69-2.82, 2 Cu 2.86, 2 Sc 2.88
Cu  0.7500  0.5000  0.6340  8 Pt 2.66-2.73, 4 Cu 2.80-2.86
Pt  0.0000  0.2549  0.5000  6 Cu 2.71, 2 Sc 2.74, 4 Pt 2.81-2.92
Pt  0.0000  0.7451  0.5000  6 Cu 2.71, 2 Sc 2.74, 4 Pt 2.81-2.92
Pt  0.2500  0.2602  0.8755  6 Cu 2.66-2.82, 2 Sc 2.74, 3 Pt 2.75-2.83
Pt  0.2500  0.7398  0.8755  6 Cu 2.66-2.82, 2 Sc 2.74, 3 Pt 2.75-2.83
Pt  0.5000  0.2549  0.5000  6 Cu 2.71, 2 Sc 2.74, 4 Pt 2.81-2.92
Pt  0.5000  0.7451  0.5000  6 Cu 2.71, 2 Sc 2.74, 4 Pt 2.81-2.92
Pt  0.7500  0.2602  0.1245  6 Cu 2.66-2.82, 2 Sc 2.74, 3 Pt 2.75-2.83
Pt  0.7500  0.7398  0.1245  6 Cu 2.66-2.82, 2 Sc 2.74, 3 Pt 2.75-2.83

Its crystal system is orthorhombic. The volume comes out at 14.8 Å³ per atom. The calculation puts the energy of formation at -0.488 eV/atom. The symmetry is Pmma, No. 51. For the density of states at the Fermi level, the calculation gives 4.38 states/eV/f.u.

Record 9
Here is ScCu2Pt after structural relaxation from Alexandria via LeMat-Bulk. Energies are from PBE.

Lattice parameters (Å, degrees): 8.9848 8.9848 8.9848 18.13 18.13 18.13
Closest atoms and distances in Å follow each position.
Atoms (fractional coordinates):
Sc  0.0000  0.0000  0.0000  6 Cu 2.80, 6 Sc 2.83
Cu  0.2474  0.2474  0.2474  3 Pt 2.69, 3 Sc 2.80, 6 Cu 2.83
Cu  0.7526  0.7526  0.7526  3 Pt 2.69, 3 Sc 2.80, 6 Cu 2.83
Pt  0.5000  0.5000  0.5000  6 Cu 2.69, 6 Pt 2.83

Its crystal system is trigonal. The volume comes out at 15.3 Å³ per atom. The calculation puts the energy of formation at -0.010 eV/atom. The symmetry is R-3m, No. 166. For the density of states at the Fermi level, the calculation gives 1.76 states/eV/f.u.

Record 10
Here is Sc2Cu2Pt after structural relaxation from Alexandria via LeMat-Bulk. Energies are from PBE.

Lattice parameters (Å, degrees): 5.0966 5.0966 5.9024 125.20 125.20 44.97
Closest atoms and distances in Å follow each position.
Atoms (fractional coordinates):
Sc  0.2219  0.2219  0.2220  6 Cu 2.70-2.81, 2 Pt 2.83
Sc  0.7781  0.7781  0.7780  6 Cu 2.70-2.81, 2 Pt 2.83
Cu  0.5002  0.5002  0.2001  1 Cu 2.36, 2 Pt 2.63
Cu  0.4998  0.4998  0.7999  1 Cu 2.36, 2 Pt 2.63
Pt  0.0000  0.0000  0.5000  4 Cu 2.63, 4 Sc 2.83

Its crystal system is monoclinic. The volume comes out at 16.9 Å³ per atom. The calculation puts the energy of formation at -0.580 eV/atom. The symmetry is C2/m, No. 12. For the density of states at the Fermi level, the calculation gives 2.73 states/eV/f.u.